# PaMnGaO6

A relaxed structure of PaMnGaO6 (PBE with a Hubbard U, Alexandria).

```
data_PaMnGaO6
_chemical_formula_sum 'Pa2 Mn2 Ga2 O12'
_space_group_name_H-M_alt 'P -3 1 c'
_space_group_IT_number 163
_space_group_name_Hall '-P 3 2c'
_cell_length_a 5.2844
_cell_length_b 5.2844
_cell_length_c 8.6564
_cell_angle_alpha 90.00
_cell_angle_beta 90.00
_cell_angle_gamma 120.00
loop_
_atom_site_label
_atom_site_type_symbol
_atom_site_fract_x
_atom_site_fract_y
_atom_site_fract_z
Pa1 Pa 0.3333 0.6667 0.2500
Mn1 Mn 0.3333 0.6667 0.7500
Ga1 Ga 0.0000 0.0000 0.0000
O1 O 0.0328 0.3474 0.6267
```

Computed properties:
- Spin magnetization: 5.979 μB/cell
- E_tot: -7.686 eV per atom